1.
PrTmSc after structural relaxation, computed with GGA-PBE.

Summary:
total energy	-15.4	eV/f.u.
N(E_F)	1.620	states/eV per atom
volume	30.141	Å³ per atom

Structure (CIF):
```
data_PrTmSc
_space_group_name_H-M_alt 'I 4 m m'
_space_group_IT_number 107
_space_group_name_Hall 'I 4 -2'
_cell_length_a 3.5139
_cell_length_b 3.5139
_cell_length_c 14.6465
_cell_angle_alpha 90.00
_cell_angle_beta 90.00
_cell_angle_gamma 90.00
loop_
_atom_site_label
_atom_site_fract_x
_atom_site_fract_y
_atom_site_fract_z
Pr1 0.0000 0.0000 0.0000
Tm1 0.0000 0.0000 0.3218
Sc1 0.0000 0.0000 0.6650
```

2.
MnCrFe after structural relaxation, computed with GGA-PBE.

Summary:
total energy	-27.1	eV/f.u.
N(E_F)	0.567	states/eV per atom
volume	11.632	Å³ per atom

Structure (CIF):
```
data_MnCrFe
_space_group_name_H-M_alt 'I 4 m m'
_space_group_IT_number 107
_space_group_name_Hall 'I 4 -2'
_cell_length_a 2.8817
_cell_length_b 2.8817
_cell_length_c 8.4046
_cell_angle_alpha 90.00
_cell_angle_beta 90.00
_cell_angle_gamma 90.00
loop_
_atom_site_label
_atom_site_fract_x
_atom_site_fract_y
_atom_site_fract_z
Mn1 0.0000 0.0000 0.0000
Cr1 0.0000 0.0000 0.6612
Fe1 0.0000 0.0000 0.3248
```

3.
RbCa2Ga after structural relaxation, computed with GGA-PBE.

Summary:
total energy	-7.0	eV/f.u.
N(E_F)	3.587	states/eV per atom
volume	65.721	Å³ per atom

Structure (CIF):
```
data_RbCa2Ga
_space_group_name_H-M_alt 'I 41/a m d'
_space_group_IT_number 141
_cell_length_a 8.6965
_cell_length_b 8.6965
_cell_length_c 13.9037
_cell_angle_alpha 90.00
_cell_angle_beta 90.00
_cell_angle_gamma 90.00
loop_
_space_group_symop_operation_xyz
'x,y,z'
'-x,-y,-z'
'-y+1/4,x+3/4,z+1/4'
'y+1/4,-x+3/4,-z+1/4'
'-x+1/2,-y,z+1/2'
'x+1/2,y,-z+1/2'
'y+1/4,-x+1/4,z+3/4'
'-y+1/4,x+1/4,-z+3/4'
'x,-y,-z'
'-x,y,z'
'-y+1/4,-x+1/4,-z+3/4'
'y+1/4,x+1/4,z+3/4'
'-x+1/2,y,-z+1/2'
'x+1/2,-y,z+1/2'
'y+1/4,x+3/4,-z+1/4'
'-y+1/4,-x+3/4,z+1/4'
'x+1/2,y+1/2,z+1/2'
'-x+1/2,-y+1/2,-z+1/2'
'-y+3/4,x+1/4,z+3/4'
'y+3/4,-x+1/4,-z+3/4'
'-x,-y+1/2,z'
'x,y+1/2,-z'
'y+3/4,-x+3/4,z+1/4'
'-y+3/4,x+3/4,-z+1/4'
'x+1/2,-y+1/2,-z+1/2'
'-x+1/2,y+1/2,z+1/2'
'-y+3/4,-x+3/4,-z+1/4'
'y+3/4,x+3/4,z+1/4'
'-x,y+1/2,-z'
'x,-y+1/2,z'
'y+3/4,x+1/4,-z+3/4'
'-y+3/4,-x+1/4,z+3/4'
loop_
_atom_site_label
_atom_site_fract_x
_atom_site_fract_y
_atom_site_fract_z
Rb1 0.0000 0.2500 0.3750
Ca1 0.0000 0.0000 0.0000
Ga1 0.0000 0.2500 0.8750
```

4.
K2CeOsO6 after structural relaxation, computed with GGA-PBE.

Summary:
E_form (uncorrected)	-1988	meV per atom
total energy	-69.0	eV/f.u.
N(E_F)	0.424	states/eV per atom
volume	14.767	Å³ per atom

Structure (CIF):
```
data_K2CeOsO6
_space_group_name_H-M_alt 'F m -3 m'
_space_group_IT_number 225
_space_group_name_Hall '-F 4 2 3'
_cell_length_a 8.3905
_cell_length_b 8.3905
_cell_length_c 8.3905
_cell_angle_alpha 90.00
_cell_angle_beta 90.00
_cell_angle_gamma 90.00
loop_
_atom_site_label
_atom_site_fract_x
_atom_site_fract_y
_atom_site_fract_z
K1 0.2500 0.2500 0.2500
Ce1 0.0000 0.0000 0.0000
Os1 0.0000 0.0000 0.5000
O1 0.0000 0.0000 0.2695
```

5.
AlMo2W after structural relaxation, computed with GGA-PBE.

Summary:
total energy	-37.8	eV/f.u.
N(E_F)	0.544	states/eV per atom
volume	15.820	Å³ per atom

Structure (CIF):
```
data_AlMo2W
_space_group_name_H-M_alt 'C m m m'
_space_group_IT_number 65
_space_group_name_Hall '-C 2 2'
_cell_length_a 5.4597
_cell_length_b 8.5123
_cell_length_c 2.7233
_cell_angle_alpha 90.00
_cell_angle_beta 90.00
_cell_angle_gamma 90.00
loop_
_atom_site_label
_atom_site_fract_x
_atom_site_fract_y
_atom_site_fract_z
Al1 0.0000 0.0000 0.0000
Mo1 0.2500 0.2500 0.5000
W1 0.0000 0.5000 0.0000
```

6.
LiTaAs after structural relaxation, computed with GGA-PBE.

Summary:
total energy	-17.0	eV/f.u.
N(E_F)	0.954	states/eV per atom
volume	18.676	Å³ per atom

Structure (CIF):
```
data_LiTaAs
_space_group_name_H-M_alt 'F -4 3 m'
_space_group_IT_number 216
_space_group_name_Hall 'F -4 2 3'
_cell_length_a 6.0741
_cell_length_b 6.0741
_cell_length_c 6.0741
_cell_angle_alpha 90.00
_cell_angle_beta 90.00
_cell_angle_gamma 90.00
loop_
_atom_site_label
_atom_site_fract_x
_atom_site_fract_y
_atom_site_fract_z
Li1 0.0000 0.0000 0.0000
Ta1 0.2500 0.2500 0.7500
As1 0.0000 0.0000 0.5000
```

7.
Cs2Na2Cu after structural relaxation, computed with GGA-PBE.

Summary:
total energy	-7.3	eV/f.u.
N(E_F)	0.715	states/eV per atom
volume	52.500	Å³ per atom

Structure (CIF):
```
data_Cs2Na2Cu
_space_group_name_H-M_alt 'I 4/m m m'
_space_group_IT_number 139
_space_group_name_Hall '-I 4 2'
_cell_length_a 4.6643
_cell_length_b 4.6643
_cell_length_c 24.1313
_cell_angle_alpha 90.00
_cell_angle_beta 90.00
_cell_angle_gamma 90.00
loop_
_atom_site_label
_atom_site_fract_x
_atom_site_fract_y
_atom_site_fract_z
Cs1 0.0000 0.0000 0.0869
Na1 0.0000 0.5000 0.2500
Cu1 0.0000 0.0000 0.5000
```

8.
BaCdCuAu3 after structural relaxation, computed with GGA-PBE.

Summary:
total energy	-18.4	eV/f.u.
N(E_F)	0.372	states/eV per atom
volume	25.217	Å³ per atom

Structure (CIF):
```
data_BaCdCuAu3
_space_group_name_H-M_alt 'C m c m'
_space_group_IT_number 63
_space_group_name_Hall '-C 2c 2'
_cell_length_a 6.3273
_cell_length_b 12.4038
_cell_length_c 7.7113
_cell_angle_alpha 90.00
_cell_angle_beta 90.00
_cell_angle_gamma 90.00
loop_
_atom_site_label
_atom_site_fract_x
_atom_site_fract_y
_atom_site_fract_z
Ba1 0.0000 0.1990 0.2500
Cd1 0.0000 0.1130 0.7500
Cu1 0.0000 0.4549 0.2500
Au1 0.0000 0.3355 0.7500
Au2 0.2481 0.0000 0.0000
```

9.
InPd8Au6 after structural relaxation, computed with GGA-PBE.

Summary:
total energy	-62.7	eV/f.u.
N(E_F)	0.819	states/eV per atom
volume	18.066	Å³ per atom

Structure (CIF):
```
data_InPd8Au6
_space_group_name_H-M_alt 'P -3'
_space_group_IT_number 147
_cell_length_a 7.8995
_cell_length_b 7.8995
_cell_length_c 5.0145
_cell_angle_alpha 90.00
_cell_angle_beta 90.00
_cell_angle_gamma 120.00
loop_
_space_group_symop_operation_xyz
'x,y,z'
'-x,-y,-z'
'-y,x-y,z'
'y,-x+y,-z'
'-x+y,-x,z'
'x-y,x,-z'
loop_
_atom_site_label
_atom_site_fract_x
_atom_site_fract_y
_atom_site_fract_z
In1 0.0000 0.0000 0.0000
Pd1 0.0102 0.6815 0.4337
Pd2 0.3333 0.6667 0.5869
Au1 0.1378 0.4403 0.0634
```

10.
TlZn2Cd2 after structural relaxation, computed with GGA-PBE.

Summary:
total energy	-6.2	eV/f.u.
N(E_F)	0.372	states/eV per atom
volume	21.954	Å³ per atom

Structure (CIF):
```
data_TlZn2Cd2
_space_group_name_H-M_alt 'P 4/m b m'
_space_group_IT_number 127
_space_group_name_Hall '-P 4 2ab'
_cell_length_a 8.5627
_cell_length_b 8.5627
_cell_length_c 2.9942
_cell_angle_alpha 90.00
_cell_angle_beta 90.00
_cell_angle_gamma 90.00
loop_
_atom_site_label
_atom_site_fract_x
_atom_site_fract_y
_atom_site_fract_z
Tl1 0.0000 0.0000 0.0000
Zn1 0.1631 0.3369 0.5000
Cd1 0.1341 0.6341 0.0000
```

11.
GdTiNiRu after structural relaxation, computed with GGA-PBE.

Summary:
total energy	-38.1	eV/f.u.
N(E_F)	0.794	states/eV per atom
volume	17.037	Å³ per atom

Structure (CIF):
```
data_GdTiNiRu
_space_group_name_H-M_alt 'F -4 3 m'
_space_group_IT_number 216
_space_group_name_Hall 'F -4 2 3'
_cell_length_a 6.4839
_cell_length_b 6.4839
_cell_length_c 6.4839
_cell_angle_alpha 90.00
_cell_angle_beta 90.00
_cell_angle_gamma 90.00
loop_
_atom_site_label
_atom_site_fract_x
_atom_site_fract_y
_atom_site_fract_z
Gd1 0.0000 0.0000 0.0000
Ti1 0.0000 0.0000 0.5000
Ni1 0.2500 0.2500 0.7500
Ru1 0.2500 0.2500 0.2500
```

12.
NaY2CoPd after structural relaxation, computed with GGA-PBE.

Summary:
total energy	-25.6	eV/f.u.
N(E_F)	0.578	states/eV per atom
volume	24.946	Å³ per atom

Structure (CIF):
```
data_NaY2CoPd
_space_group_name_H-M_alt 'P 4/m m m'
_space_group_IT_number 123
_space_group_name_Hall '-P 4 2'
_cell_length_a 5.0400
_cell_length_b 5.0400
_cell_length_c 4.9102
_cell_angle_alpha 90.00
_cell_angle_beta 90.00
_cell_angle_gamma 90.00
loop_
_atom_site_label
_atom_site_fract_x
_atom_site_fract_y
_atom_site_fract_z
Na1 0.0000 0.0000 0.0000
Y1 0.0000 0.5000 0.5000
Co1 0.0000 0.0000 0.5000
Pd1 0.5000 0.5000 0.0000
```